Entry from Alexandria: a relaxed structure of V2Cr2GaRu5 (PBE-GGA).

Lattice parameters (Å, degrees): 8.626 8.626 3.816 90.00 90.00 90.00
Atoms (fractional coordinates):
V: 0.159 0.341 0.000
V: 0.341 0.841 0.000
V: 0.659 0.159 0.000
V: 0.841 0.659 0.000
Cr: 0.138 0.638 0.000
Cr: 0.362 0.138 0.000
Cr: 0.638 0.862 0.000
Cr: 0.862 0.362 0.000
Ga: 0.000 0.000 0.000
Ga: 0.500 0.500 0.000
Ru: 0.000 0.500 0.500
Ru: 0.077 0.802 0.500
Ru: 0.198 0.077 0.500
Ru: 0.302 0.577 0.500
Ru: 0.423 0.302 0.500
Ru: 0.500 0.000 0.500
Ru: 0.577 0.698 0.500
Ru: 0.698 0.423 0.500
Ru: 0.802 0.923 0.500
Ru: 0.923 0.198 0.500

* Fermi-level density of states: 23.48 states/eV/cell
* symmetry: P4/mbm, No. 127
* ΔH_f (0 K): 0.114 eV/atom


Entry from Alexandria: a relaxed structure of Cr2GaRuW (PBE-GGA).

Lattice parameters (Å, degrees): 4.394 4.394 4.404 90.00 90.00 90.00
Atoms (fractional coordinates):
Cr: 0.000 0.500 0.000
Cr: 0.500 0.000 0.000
Ga: 0.000 0.000 0.000
Ru: 0.000 0.000 0.500
W: 0.500 0.500 0.500

* Fermi-level density of states: 4.75 states/eV/cell
* symmetry: P4/mmm, No. 123
* ΔH_f (0 K): 1.483 eV/atom


Entry from Alexandria: a relaxed structure of CrGa2RuW (PBE-GGA).

Lattice parameters (Å, degrees): 4.815 4.815 4.519 90.00 90.00 90.00
Atoms (fractional coordinates):
Cr: 0.000 0.000 0.000
Ga: 0.000 0.500 0.500
Ga: 0.500 0.000 0.500
Ru: 0.500 0.500 0.000
W: 0.000 0.000 0.500

* Fermi-level density of states: 3.70 states/eV/cell
* symmetry: P4/mmm, No. 123
* ΔH_f (0 K): 1.485 eV/atom


Entry from Alexandria: a relaxed structure of Zr2Cr2GaRu5 (PBE-GGA).

Lattice parameters (Å, degrees): 9.740 9.740 3.283 90.00 90.00 90.00
Atoms (fractional coordinates):
Zr: 0.174 0.326 0.000
Zr: 0.326 0.826 0.000
Zr: 0.674 0.174 0.000
Zr: 0.826 0.674 0.000
Cr: 0.131 0.631 0.000
Cr: 0.369 0.131 0.000
Cr: 0.631 0.869 0.000
Cr: 0.869 0.369 0.000
Ga: 0.000 0.000 0.000
Ga: 0.500 0.500 0.000
Ru: 0.000 0.500 0.500
Ru: 0.063 0.796 0.500
Ru: 0.204 0.063 0.500
Ru: 0.296 0.563 0.500
Ru: 0.437 0.296 0.500
Ru: 0.500 0.000 0.500
Ru: 0.563 0.704 0.500
Ru: 0.704 0.437 0.500
Ru: 0.796 0.937 0.500
Ru: 0.937 0.204 0.500

* Fermi-level density of states: 16.70 states/eV/cell
* symmetry: P4/mbm, No. 127
* ΔH_f (0 K): -0.146 eV/atom


Entry from Alexandria: a relaxed structure of CrGa2S (PBE-GGA).

Lattice parameters (Å, degrees): 5.632 5.632 5.632 102.09 102.09 125.52
Atoms (fractional coordinates):
Cr: 0.000 0.000 0.000
Cr: 0.750 0.250 0.500
Ga: 0.128 0.625 0.003
Ga: 0.375 0.378 0.503
Ga: 0.622 0.125 0.997
Ga: 0.875 0.872 0.497
S: 0.250 0.750 0.500
S: 0.500 0.500 0.000

* Fermi-level density of states: 8.75 states/eV/cell
* symmetry: I-42d, No. 122
* formation energy from raw total energies: 0.41 eV/atom


Entry from Alexandria: a relaxed structure of Cr3GaS6 (PBE-GGA).

Lattice parameters (Å, degrees): 7.054 7.054 17.127 90.00 90.00 120.00
Atoms (fractional coordinates):
Cr: 0.000 0.000 0.000
Cr: 0.170 0.339 0.823
Cr: 0.170 0.830 0.823
Cr: 0.316 0.158 0.156
Cr: 0.333 0.667 0.650
Cr: 0.506 0.011 0.480
Cr: 0.506 0.494 0.480
Cr: 0.661 0.830 0.823
Cr: 0.667 0.333 0.338
Cr: 0.842 0.158 0.156
Cr: 0.842 0.684 0.156
Cr: 0.989 0.494 0.480
Ga: 0.000 0.000 0.610
Ga: 0.333 0.667 0.275
Ga: 0.667 0.333 0.695
Ga: 0.667 0.333 0.951
S: 0.000 0.000 0.233
S: 0.000 0.000 0.747
S: 0.028 0.514 0.740
S: 0.156 0.312 0.077
S: 0.156 0.844 0.077
S: 0.179 0.358 0.565
S: 0.179 0.821 0.565
S: 0.306 0.153 0.903
S: 0.333 0.667 0.413
S: 0.333 0.667 0.896
S: 0.343 0.171 0.408
S: 0.486 0.514 0.740
S: 0.486 0.972 0.740
S: 0.516 0.031 0.239
S: 0.516 0.484 0.239
S: 0.642 0.821 0.565
S: 0.667 0.333 0.084
S: 0.667 0.333 0.560
S: 0.688 0.844 0.077
S: 0.829 0.171 0.408
S: 0.829 0.657 0.408
S: 0.847 0.153 0.903
S: 0.847 0.694 0.903
S: 0.969 0.484 0.239

* Fermi-level density of states: 9.08 states/eV/cell
* symmetry: P3m1, No. 156
* formation energy from raw total energies: -0.69 eV/atom


> What is the formula in the fourth record?

Zr2Cr2GaRu5